Compound: Ba2SbIr
Source: Alexandria via LeMat-Bulk
Functional: PBE
Structure: optimized geometry

Cell and atoms, written as POSCAR:
```
Ba2SbIr
1.0
5.246 0.000 0.000
0.000 5.246 0.000
0.000 0.000 9.142
Ba Sb Ir
4 2 2
Direct
0.000 0.500 0.250
0.000 0.500 0.750
0.500 0.000 0.250
0.500 0.000 0.750
0.000 0.000 0.000
0.500 0.500 0.500
0.000 0.000 0.500
0.500 0.500 0.000
```

Output
The size of the total moment is 0.00 μB per cell. Its space group is No. 139. The uncorrected formation energy is -64 kJ/mol of formula units.